No. 1
## FeRhNO2 (GGA+U)

Data for an optimized crystal structure of FeRhNO2.

Cell and atoms, written as POSCAR:
```
FeRhNO2
1.0
3.709 0.000 0.000
0.000 3.709 0.000
0.000 0.000 3.979
Rh Fe O N
1 1 2 1
Direct
0.500 0.500 0.500 Rh
0.000 0.000 0.000 Fe
0.000 0.500 0.000 O
0.500 0.000 0.000 O
0.000 0.000 0.500 N
```

Computed properties:
The electronic total energy comes out at -28.6 eV/cell. The value obtained for the total magnetic moment is 2.099 μB/cell. As for the space group: P4/mmm. The density of states at the Fermi level comes out at 4.741 states/eV/cell.

No. 2
## Fe2RhNO (GGA+U)

Data for an optimized crystal structure of Fe2RhNO.

Cell and atoms, written as POSCAR:
```
Fe2RhNO
1.0
-1.029 1.163 3.723
0.081 -3.826 1.218
3.899 0.387 0.957
Rh Fe O N
1 2 1 1
Direct
0.000 0.500 0.000 Rh
0.000 0.000 0.500 Fe
0.500 0.000 0.000 Fe
0.000 0.000 0.000 O
0.500 0.500 0.500 N
```

Computed properties:
The electronic total energy comes out at -28.4 eV/cell. The value obtained for the total magnetic moment is 7.688 μB/cell. As for the space group: P4/mmm. The density of states at the Fermi level comes out at 2.145 states/eV/cell.

No. 3
## FeRhNO2 (GGA+U)

Data for an optimized crystal structure of FeRhNO2.

Cell and atoms, written as POSCAR:
```
FeRhNO2
1.0
-1.017 1.036 -3.807
-0.746 -3.911 -0.865
-3.452 0.428 1.039
Rh Fe O N
1 1 2 1
Direct
0.000 0.000 0.000 Rh
0.500 0.500 0.500 Fe
0.000 0.500 0.000 O
0.500 0.000 0.000 O
0.000 0.000 0.500 N
```

Computed properties:
The electronic total energy comes out at -30.0 eV/cell. The value obtained for the total magnetic moment is 4.184 μB/cell. As for the space group: P4/mmm. The density of states at the Fermi level comes out at 4.200 states/eV/cell.

No. 4
## FeRuN2O (GGA+U)

Data for an optimized crystal structure of FeRuN2O.

Cell and atoms, written as POSCAR:
```
FeRuN2O
1.0
-2.002 -2.419 -2.145
-1.272 -1.730 3.138
-2.867 2.286 0.098
Ru Fe O N
1 1 1 2
Direct
0.500 0.500 0.500 Ru
0.000 0.000 0.000 Fe
0.000 0.000 0.500 O
0.000 0.500 0.000 N
0.500 0.000 0.000 N
```

Computed properties:
The electronic total energy comes out at -30.5 eV/cell. The value obtained for the total magnetic moment is 0.627 μB/cell. As for the space group: P4/mmm. The density of states at the Fermi level comes out at 4.313 states/eV/cell.

No. 5
## FeRuN2O (GGA+U)

Data for an optimized crystal structure of FeRuN2O.

Cell and atoms, written as POSCAR:
```
FeRuN2O
1.0
3.742 0.000 0.000
0.000 3.742 0.000
0.000 0.000 4.260
Ru Fe O N
1 1 1 2
Direct
0.000 0.000 0.000 Ru
0.500 0.500 0.500 Fe
0.000 0.000 0.500 O
0.000 0.500 0.000 N
0.500 0.000 0.000 N
```

Computed properties:
The electronic total energy comes out at -33.6 eV/cell. The value obtained for the total magnetic moment is 4.381 μB/cell. As for the space group: P4/mmm. The density of states at the Fermi level comes out at 2.295 states/eV/cell.

No. 6
## FeRuNO2 (GGA+U)

Data for an optimized crystal structure of FeRuNO2.

Cell and atoms, written as POSCAR:
```
FeRuNO2
1.0
3.974 0.000 0.000
0.000 3.974 0.000
0.000 0.000 3.718
Ru Fe O N
1 1 2 1
Direct
0.000 0.000 0.000 Ru
0.500 0.500 0.500 Fe
0.000 0.500 0.000 O
0.500 0.000 0.000 O
0.000 0.000 0.500 N
```

Computed properties:
The electronic total energy comes out at -33.1 eV/cell. The value obtained for the total magnetic moment is 4.827 μB/cell. As for the space group: P4/mmm. The density of states at the Fermi level comes out at 3.914 states/eV/cell.

No. 7
## FeRuNO2 (GGA+U)

Data for an optimized crystal structure of FeRuNO2.

Cell and atoms, written as POSCAR:
```
FeRuNO2
1.0
-0.630 3.526 1.024
-3.672 -0.613 -0.146
0.033 -1.106 3.829
Ru Fe O N
1 1 2 1
Direct
0.500 0.500 0.500 Ru
0.000 0.000 0.000 Fe
0.000 0.500 0.000 O
0.500 0.000 0.000 O
0.000 0.000 0.500 N
```

Computed properties:
The electronic total energy comes out at -30.4 eV/cell. The value obtained for the total magnetic moment is 7.639 μB/cell. As for the space group: P4/mmm. The density of states at the Fermi level comes out at 4.224 states/eV/cell.

No. 8
## FeS2NO8 (GGA+U)

Data for an optimized crystal structure of FeS2NO8.

Cell and atoms, written as POSCAR:
```
FeS2NO8
1.0
-3.653 0.384 3.315
0.313 -4.009 -2.883
9.394 -7.321 11.202
Fe S N O
2 4 2 16
Direct
0.667 0.333 0.598 Fe
0.333 0.667 0.098 Fe
0.000 0.000 0.494 S
0.000 0.000 0.994 S
0.667 0.333 0.202 S
0.333 0.667 0.702 S
0.333 0.667 0.354 N
0.667 0.333 0.854 N
0.000 0.000 0.405 O
0.000 0.000 0.905 O
0.948 0.255 0.525 O
0.745 0.694 0.525 O
0.306 0.052 0.525 O
0.052 0.745 0.025 O
0.255 0.306 0.025 O
0.694 0.948 0.025 O
0.667 0.333 0.291 O
0.333 0.667 0.791 O
0.411 0.028 0.170 O
0.972 0.384 0.170 O
0.616 0.589 0.170 O
0.589 0.972 0.670 O
0.028 0.616 0.670 O
0.384 0.411 0.670 O
```

Computed properties:
As for the offset from the most stable computed form: 0.0 meV per atom. The value obtained for the total magnetic moment is 13.914 μB/cell. As for the space group: P6_3. The density of states at the Fermi level comes out at 16.615 states/eV/cell.

No. 9
## FeS2NO8 (GGA+U)

Data for an optimized crystal structure of FeS2NO8.

Cell and atoms, written as POSCAR:
```
FeS2NO8
1.0
2.599 -4.502 0.000
2.599 4.502 0.000
0.000 0.000 8.224
Fe S N O
1 2 1 8
Direct
0.000 0.000 0.000 Fe
0.333 0.667 0.206 S
0.667 0.333 0.794 S
0.000 0.000 0.500 N
0.175 0.356 0.145 O
0.644 0.819 0.145 O
0.356 0.175 0.855 O
0.181 0.825 0.145 O
0.819 0.644 0.855 O
0.825 0.181 0.855 O
0.333 0.667 0.383 O
0.667 0.333 0.617 O
```

Computed properties:
As for the offset from the most stable computed form: 19.5 meV per atom. The value obtained for the total magnetic moment is 6.914 μB/cell. As for the space group: P321. The density of states at the Fermi level comes out at 8.273 states/eV/cell.

No. 10
## FeSbN2O (GGA+U)

Data for an optimized crystal structure of FeSbN2O.

Cell and atoms, written as POSCAR:
```
FeSbN2O
1.0
3.868 0.000 0.000
0.000 3.868 0.000
0.000 0.000 3.860
Sb Fe O N
1 1 1 2
Direct
0.500 0.500 0.500 Sb
0.000 0.000 0.000 Fe
0.000 0.000 0.500 O
0.000 0.500 0.000 N
0.500 0.000 0.000 N
```

Computed properties:
The electronic total energy comes out at -28.3 eV/cell. The value obtained for the total magnetic moment is 3.634 μB/cell. As for the space group: P4/mmm. The density of states at the Fermi level comes out at 2.398 states/eV/cell.

No. 11
## FeSbN2O (GGA+U)

Data for an optimized crystal structure of FeSbN2O.

Cell and atoms, written as POSCAR:
```
FeSbN2O
1.0
-0.058 3.357 2.218
-3.563 0.988 -1.588
-1.841 -1.956 2.912
Sb Fe O N
1 1 1 2
Direct
0.000 0.000 0.000 Sb
0.500 0.500 0.500 Fe
0.000 0.000 0.500 O
0.000 0.500 0.000 N
0.500 0.000 0.000 N
```

Computed properties:
The electronic total energy comes out at -27.9 eV/cell. The value obtained for the total magnetic moment is 4.340 μB/cell. As for the space group: P4/mmm. The density of states at the Fermi level comes out at 3.442 states/eV/cell.

No. 12
## ScFeN2O (GGA+U)

Data for an optimized crystal structure of ScFeN2O.

Cell and atoms, written as POSCAR:
```
ScFeN2O
1.0
-3.874 0.434 1.459
-1.486 -0.206 -3.883
-0.318 -3.950 0.331
Sc Fe O N
1 1 1 2
Direct
0.000 0.000 0.000 Sc
0.500 0.500 0.500 Fe
0.000 0.000 0.500 O
0.000 0.500 0.000 N
0.500 0.000 0.000 N
```

Computed properties:
The electronic total energy comes out at -31.6 eV/cell. The value obtained for the total magnetic moment is 6.786 μB/cell. As for the space group: P4/mmm. The density of states at the Fermi level comes out at 2.337 states/eV/cell.

No. 13
## ScFeN2O (GGA+U)

Data for an optimized crystal structure of ScFeN2O.

Cell and atoms, written as POSCAR:
```
ScFeN2O
1.0
-3.737 0.061 0.053
-0.033 -3.395 1.565
0.075 1.588 3.446
Sc Fe O N
1 1 1 2
Direct
0.500 0.500 0.500 Sc
0.000 0.000 0.000 Fe
0.000 0.000 0.500 O
0.000 0.500 0.000 N
0.500 0.000 0.000 N
```

Computed properties:
The electronic total energy comes out at -35.1 eV/cell. The value obtained for the total magnetic moment is 3.593 μB/cell. As for the space group: P4/mmm. The density of states at the Fermi level comes out at 1.323 states/eV/cell.

No. 14
## FeSeN2O (GGA+U)

Data for an optimized crystal structure of FeSeN2O.

Cell and atoms, written as POSCAR:
```
FeSeN2O
1.0
3.811 0.000 0.000
0.000 3.811 0.000
0.000 0.000 3.797
O Fe Se N
1 1 1 2
Direct
0.000 0.000 0.500 O
0.500 0.500 0.500 Fe
0.000 0.000 0.000 Se
0.000 0.500 0.000 N
0.500 0.000 0.000 N
```

Computed properties:
The electronic total energy comes out at -24.6 eV/cell. The value obtained for the total magnetic moment is 4.581 μB/cell. As for the space group: P4/mmm. The density of states at the Fermi level comes out at 2.742 states/eV/cell.

No. 15
## FeSeN2O (GGA+U)

Data for an optimized crystal structure of FeSeN2O.

Cell and atoms, written as POSCAR:
```
FeSeN2O
1.0
3.960 0.000 0.000
0.000 3.960 0.000
0.000 0.000 3.594
O Fe Se N
1 1 1 2
Direct
0.000 0.000 0.500 O
0.000 0.000 0.000 Fe
0.500 0.500 0.500 Se
0.000 0.500 0.000 N
0.500 0.000 0.000 N
```

Computed properties:
The electronic total energy comes out at -24.7 eV/cell. The value obtained for the total magnetic moment is 3.600 μB/cell. As for the space group: P4/mmm. The density of states at the Fermi level comes out at 3.188 states/eV/cell.

No. 16
## FeSeN2O (GGA+U)

Data for an optimized crystal structure of FeSeN2O.

Cell and atoms, written as POSCAR:
```
FeSeN2O
1.0
-3.598 1.427 -0.342
-1.450 -3.596 0.252
-0.229 0.370 3.953
O Fe Se N
1 1 1 2
Direct
0.000 0.000 0.000 O
0.500 0.500 0.500 Fe
0.000 0.000 0.500 Se
0.000 0.500 0.000 N
0.500 0.000 0.000 N
```

Computed properties:
The electronic total energy comes out at -21.0 eV/cell. The value obtained for the total magnetic moment is 4.243 μB/cell. As for the space group: P4/mmm. The density of states at the Fermi level comes out at 4.554 states/eV/cell.

No. 17
## FeSeN2O (GGA+U)

Data for an optimized crystal structure of FeSeN2O.

Cell and atoms, written as POSCAR:
```
FeSeN2O
1.0
-2.471 -0.130 2.343
-1.947 -1.787 -2.152
2.040 -4.513 1.901
O Fe Se N
1 1 1 2
Direct
0.500 0.500 0.500 O
0.000 0.000 0.000 Fe
0.000 0.000 0.500 Se
0.000 0.500 0.000 N
0.500 0.000 0.000 N
```

Computed properties:
The electronic total energy comes out at -23.1 eV/cell. The value obtained for the total magnetic moment is 0.089 μB/cell. As for the space group: P4/mmm. The density of states at the Fermi level comes out at 1.716 states/eV/cell.

No. 18
## FeSe2NO8 (GGA+U)

Data for an optimized crystal structure of FeSe2NO8.

Cell and atoms, written as POSCAR:
```
FeSe2NO8
1.0
2.556 -4.428 0.000
2.556 4.428 0.000
0.000 0.000 8.720
Fe Se N O
1 2 1 8
Direct
0.000 0.000 0.000 Fe
0.667 0.333 0.786 Se
0.333 0.667 0.214 Se
0.000 0.000 0.500 N
0.942 0.274 0.852 O
0.332 0.058 0.852 O
0.668 0.726 0.148 O
0.726 0.668 0.852 O
0.274 0.942 0.148 O
0.058 0.332 0.148 O
0.667 0.333 0.597 O
0.333 0.667 0.403 O
```

Computed properties:
The electronic total energy comes out at -61.7 eV/cell. The value obtained for the total magnetic moment is 6.914 μB/cell. As for the space group: P321. The density of states at the Fermi level comes out at 7.658 states/eV/cell.

No. 19
## Fe2SiNO (GGA+U)

Data for an optimized crystal structure of Fe2SiNO.

Cell and atoms, written as POSCAR:
```
Fe2SiNO
1.0
3.738 0.000 0.000
0.000 4.865 0.000
0.000 0.000 3.738
Si Fe O N
1 2 1 1
Direct
0.500 0.500 0.500 Si
0.000 0.000 0.500 Fe
0.500 0.000 0.000 Fe
0.000 0.000 0.000 O
0.000 0.500 0.000 N
```

Computed properties:
The electronic total energy comes out at -25.1 eV/cell. The value obtained for the total magnetic moment is 8.393 μB/cell. As for the space group: P4/mmm. The density of states at the Fermi level comes out at 3.774 states/eV/cell.

No. 20
## FeSnNO2 (GGA+U)

Data for an optimized crystal structure of FeSnNO2.

Cell and atoms, written as POSCAR:
```
FeSnNO2
1.0
-2.168 -0.064 3.424
-1.115 -3.818 -0.777
3.296 -1.382 2.061
N Sn O Fe
1 1 2 1
Direct
0.000 0.000 0.500 N
0.000 0.000 0.000 Sn
0.000 0.500 0.000 O
0.500 0.000 0.000 O
0.500 0.500 0.500 Fe
```

Computed properties:
The electronic total energy comes out at -27.9 eV/cell. The value obtained for the total magnetic moment is 5.012 μB/cell. As for the space group: P4/mmm. The density of states at the Fermi level comes out at 1.905 states/eV/cell.